Entry 1:
# Cs2BiNO (PBE, optimized geometry)
# Fermi-level density of states (states/eV/atom): 0.8261
# Total moment (μB per atom): 0.3716
# Energy relative to the elements, uncorrected (eV/f.u.): 1.3
data_Cs2BiNO
_space_group_name_H-M_alt 'P 1'
_space_group_IT_number 1
_cell_length_a 6.239
_cell_length_b 6.239
_cell_length_c 4.587
_cell_angle_alpha 90.00
_cell_angle_beta 90.00
_cell_angle_gamma 90.00
loop_
_space_group_symop_operation_xyz
'x,y,z'
loop_
_atom_site_label
_atom_site_type_symbol
_atom_site_fract_x
_atom_site_fract_y
_atom_site_fract_z
Cs1 Cs 0.000 0.500 0.000
Cs2 Cs 0.500 0.000 0.000
Bi1 Bi 0.000 0.000 0.500
N1 N 0.500 0.500 0.500
O1 O 0.000 0.000 0.000

***

Entry 2:
# TmHg3Pd7 (PBE, optimized geometry)
# Fermi-level density of states (states/eV/atom): 0.4632
# Total moment (μB per atom): 0.0000
# E_form (eV/f.u.): -2.0
data_TmHg3Pd7
_space_group_name_H-M_alt 'P 1'
_space_group_IT_number 1
_cell_length_a 6.621
_cell_length_b 6.621
_cell_length_c 5.347
_cell_angle_alpha 106.43
_cell_angle_beta 106.43
_cell_angle_gamma 92.22
loop_
_space_group_symop_operation_xyz
'x,y,z'
loop_
_atom_site_label
_atom_site_type_symbol
_atom_site_fract_x
_atom_site_fract_y
_atom_site_fract_z
Tm1 Tm 0.000 0.000 0.000
Hg1 Hg 0.283 0.717 0.500
Hg2 Hg 0.500 0.500 0.000
Hg3 Hg 0.717 0.283 0.500
Pd1 Pd 0.000 0.000 0.500
Pd2 Pd 0.081 0.569 0.823
Pd3 Pd 0.287 0.287 0.456
Pd4 Pd 0.431 0.919 0.177
Pd5 Pd 0.569 0.081 0.823
Pd6 Pd 0.713 0.713 0.544
Pd7 Pd 0.919 0.431 0.177

***

Entry 3:
# KRbPt2Au (PBE, optimized geometry)
# Fermi-level density of states (states/eV/atom): 1.3043
# Total moment (μB per atom): 0.0000
# E_form (eV/f.u.): 7.0
data_KRbPt2Au
_space_group_name_H-M_alt 'P 1'
_space_group_IT_number 1
_cell_length_a 5.297
_cell_length_b 5.297
_cell_length_c 5.808
_cell_angle_alpha 90.00
_cell_angle_beta 90.00
_cell_angle_gamma 90.00
loop_
_space_group_symop_operation_xyz
'x,y,z'
loop_
_atom_site_label
_atom_site_type_symbol
_atom_site_fract_x
_atom_site_fract_y
_atom_site_fract_z
K1 K 0.000 0.000 0.000
Rb1 Rb 0.000 0.000 0.500
Pt1 Pt 0.000 0.500 0.500
Pt2 Pt 0.500 0.000 0.500
Au1 Au 0.500 0.500 0.000

***

Entry 4:
# SrTlOs2 (PBE, optimized geometry)
# Fermi-level density of states (states/eV/atom): 0.9030
# Offset from the most stable computed form (meV per atom): 921
# Total moment (μB per atom): 0.0000
# E_form (eV/f.u.): 4.8
data_SrTlOs2
_space_group_name_H-M_alt 'P 1'
_space_group_IT_number 1
_cell_length_a 5.554
_cell_length_b 5.554
_cell_length_c 2.788
_cell_angle_alpha 90.00
_cell_angle_beta 90.00
_cell_angle_gamma 110.53
loop_
_space_group_symop_operation_xyz
'x,y,z'
loop_
_atom_site_label
_atom_site_type_symbol
_atom_site_fract_x
_atom_site_fract_y
_atom_site_fract_z
Sr1 Sr 0.000 0.000 0.000
Tl1 Tl 0.500 0.500 0.000
Os1 Os 0.000 0.500 0.500
Os2 Os 0.500 0.000 0.500

***

Entry 5:
# Pr9HoTl2 (PBE, optimized geometry)
# Fermi-level density of states (states/eV/atom): 1.2939
# Total moment (μB per atom): 0.0000
# E_form (eV/f.u.): -1.6
data_Pr9HoTl2
_space_group_name_H-M_alt 'P 1'
_space_group_IT_number 1
_cell_length_a 5.048
_cell_length_b 5.048
_cell_length_c 15.508
_cell_angle_alpha 90.00
_cell_angle_beta 90.00
_cell_angle_gamma 90.00
loop_
_space_group_symop_operation_xyz
'x,y,z'
loop_
_atom_site_label
_atom_site_type_symbol
_atom_site_fract_x
_atom_site_fract_y
_atom_site_fract_z
Pr1 Pr 0.000 0.000 0.000
Pr2 Pr 0.000 0.000 0.336
Pr3 Pr 0.000 0.000 0.664
Pr4 Pr 0.000 0.500 0.172
Pr5 Pr 0.000 0.500 0.500
Pr6 Pr 0.000 0.500 0.828
Pr7 Pr 0.500 0.000 0.172
Pr8 Pr 0.500 0.000 0.500
Pr9 Pr 0.500 0.000 0.828
Ho1 Ho 0.500 0.500 0.000
Tl1 Tl 0.500 0.500 0.339
Tl2 Tl 0.500 0.500 0.661

***

Entry 6:
# VZn2CrSb (PBE, optimized geometry)
# Fermi-level density of states (states/eV/atom): 1.0410
# Total moment (μB per atom): 0.2981
# Energy relative to the elements, uncorrected (eV/f.u.): 6.4
data_VZn2CrSb
_space_group_name_H-M_alt 'P 1'
_space_group_IT_number 1
_cell_length_a 4.727
_cell_length_b 4.727
_cell_length_c 4.937
_cell_angle_alpha 90.00
_cell_angle_beta 90.00
_cell_angle_gamma 90.00
loop_
_space_group_symop_operation_xyz
'x,y,z'
loop_
_atom_site_label
_atom_site_type_symbol
_atom_site_fract_x
_atom_site_fract_y
_atom_site_fract_z
V1 V 0.000 0.000 0.000
Zn1 Zn 0.000 0.500 0.000
Zn2 Zn 0.500 0.000 0.000
Cr1 Cr 0.500 0.500 0.500
Sb1 Sb 0.000 0.000 0.500

***

Entry 7:
# CsZr2Ga2 (PBE, optimized geometry)
# Fermi-level density of states (states/eV/atom): 1.0103
# Offset from the most stable computed form (meV per atom): 0
# Total moment (μB per atom): 0.0000
# E_form (eV/f.u.): 1.0
data_CsZr2Ga2
_space_group_name_H-M_alt 'P 1'
_space_group_IT_number 1
_cell_length_a 9.020
_cell_length_b 9.020
_cell_length_c 3.116
_cell_angle_alpha 90.00
_cell_angle_beta 90.00
_cell_angle_gamma 90.00
loop_
_space_group_symop_operation_xyz
'x,y,z'
loop_
_atom_site_label
_atom_site_type_symbol
_atom_site_fract_x
_atom_site_fract_y
_atom_site_fract_z
Cs1 Cs 0.000 0.000 0.000
Cs2 Cs 0.500 0.500 0.000
Zr1 Zr 0.128 0.372 0.500
Zr2 Zr 0.372 0.872 0.500
Zr3 Zr 0.628 0.128 0.500
Zr4 Zr 0.872 0.628 0.500
Ga1 Ga 0.159 0.659 0.000
Ga2 Ga 0.341 0.159 0.000
Ga3 Ga 0.659 0.841 0.000
Ga4 Ga 0.841 0.341 0.000

***

Entry 8:
# Pr2NdMg4 (PBE, optimized geometry)
# Fermi-level density of states (states/eV/atom): 0.9003
# Offset from the most stable computed form (meV per atom): 208
# Total moment (μB per atom): 0.0004
# E_form (eV/f.u.): 2.2
data_Pr2NdMg4
_space_group_name_H-M_alt 'P 1'
_space_group_IT_number 1
_cell_length_a 7.333
_cell_length_b 7.333
_cell_length_c 5.586
_cell_angle_alpha 90.00
_cell_angle_beta 90.00
_cell_angle_gamma 130.51
loop_
_space_group_symop_operation_xyz
'x,y,z'
loop_
_atom_site_label
_atom_site_type_symbol
_atom_site_fract_x
_atom_site_fract_y
_atom_site_fract_z
Pr1 Pr 0.137 0.863 0.000
Pr2 Pr 0.863 0.137 0.000
Nd1 Nd 0.500 0.500 0.500
Mg1 Mg 0.261 0.739 0.500
Mg2 Mg 0.385 0.615 0.000
Mg3 Mg 0.615 0.385 0.000
Mg4 Mg 0.739 0.261 0.500

***

Entry 9:
# Sr2CrCd (PBE, optimized geometry)
# Fermi-level density of states (states/eV/atom): 0.7593
# Total moment (μB per atom): 1.1801
# E_form (eV/f.u.): 1.3
data_Sr2CrCd
_space_group_name_H-M_alt 'P 1'
_space_group_IT_number 1
_cell_length_a 6.317
_cell_length_b 6.317
_cell_length_c 6.317
_cell_angle_alpha 133.85
_cell_angle_beta 133.85
_cell_angle_gamma 67.32
loop_
_space_group_symop_operation_xyz
'x,y,z'
loop_
_atom_site_label
_atom_site_type_symbol
_atom_site_fract_x
_atom_site_fract_y
_atom_site_fract_z
Sr1 Sr 0.000 0.000 0.000
Sr2 Sr 0.750 0.250 0.500
Cr1 Cr 0.500 0.500 0.000
Cd1 Cd 0.250 0.750 0.500

***

Entry 10:
# Na5Cd2SnHg2 (PBE, optimized geometry)
# Fermi-level density of states (states/eV/atom): 0.4140
# Total moment (μB per atom): 0.0000
# E_form (eV/f.u.): -0.8
data_Na5Cd2SnHg2
_space_group_name_H-M_alt 'P 1'
_space_group_IT_number 1
_cell_length_a 11.922
_cell_length_b 11.922
_cell_length_c 4.031
_cell_angle_alpha 90.00
_cell_angle_beta 90.00
_cell_angle_gamma 90.00
loop_
_space_group_symop_operation_xyz
'x,y,z'
loop_
_atom_site_label
_atom_site_type_symbol
_atom_site_fract_x
_atom_site_fract_y
_atom_site_fract_z
Na1 Na 0.000 0.500 0.000
Na2 Na 0.013 0.205 0.000
Na3 Na 0.205 0.987 0.000
Na4 Na 0.295 0.487 0.000
Na5 Na 0.487 0.705 0.000
Na6 Na 0.500 0.000 0.000
Na7 Na 0.513 0.295 0.000
Na8 Na 0.705 0.513 0.000
Na9 Na 0.795 0.013 0.000
Na10 Na 0.987 0.795 0.000
Cd1 Cd 0.175 0.675 0.500
Cd2 Cd 0.325 0.175 0.500
Cd3 Cd 0.675 0.825 0.500
Cd4 Cd 0.825 0.325 0.500
Sn1 Sn 0.000 0.000 0.500
Sn2 Sn 0.500 0.500 0.500
Hg1 Hg 0.149 0.351 0.500
Hg2 Hg 0.351 0.851 0.500
Hg3 Hg 0.649 0.149 0.500
Hg4 Hg 0.851 0.649 0.500

***

Entry 11:
# KYPd3 (PBE, optimized geometry)
# Fermi-level density of states (states/eV/atom): 1.4899
# Offset from the most stable computed form (meV per atom): 543
# Total moment (μB per atom): 0.0000
# E_form (eV/f.u.): 3.8
data_KYPd3
_space_group_name_H-M_alt 'P 1'
_space_group_IT_number 1
_cell_length_a 4.974
_cell_length_b 4.974
_cell_length_c 4.974
_cell_angle_alpha 90.00
_cell_angle_beta 90.00
_cell_angle_gamma 90.00
loop_
_space_group_symop_operation_xyz
'x,y,z'
loop_
_atom_site_label
_atom_site_type_symbol
_atom_site_fract_x
_atom_site_fract_y
_atom_site_fract_z
K1 K 0.000 0.000 0.000
Y1 Y 0.500 0.500 0.500
Pd1 Pd 0.000 0.000 0.500
Pd2 Pd 0.000 0.500 0.000
Pd3 Pd 0.500 0.000 0.000

***

Entry 12:
# MnP2Br (PBE, optimized geometry)
# Fermi-level density of states (states/eV/atom): 0.0053
# Offset from the most stable computed form (meV per atom): 116
# Total moment (μB per atom): 0.0000
# Energy relative to the elements, uncorrected (eV/f.u.): 0.2
data_MnP2Br
_space_group_name_H-M_alt 'P 1'
_space_group_IT_number 1
_cell_length_a 3.868
_cell_length_b 3.868
_cell_length_c 7.234
_cell_angle_alpha 97.33
_cell_angle_beta 97.33
_cell_angle_gamma 51.02
loop_
_space_group_symop_operation_xyz
'x,y,z'
loop_
_atom_site_label
_atom_site_type_symbol
_atom_site_fract_x
_atom_site_fract_y
_atom_site_fract_z
Mn1 Mn 0.000 0.000 0.000
P1 P 0.290 0.290 0.906
P2 P 0.503 0.503 0.740
Br1 Br 0.754 0.754 0.242